# NaFeP2

Crystalline NaFeP2 at its relaxed geometry (GGA-PBE, Alexandria).

Summary:
**Formation enthalpy at 0 K**: 249 meV/atom
**SG**: Fm-3m
**Polymorph energy (0 for the lowest one)**: 313 meV per atom

```
data_NaFeP2
_symmetry_space_group_name_H-M 'P 1'
_symmetry_Int_Tables_number 1
_cell_length_a 4.2244
_cell_length_b 4.2244
_cell_length_c 4.2244
_cell_angle_alpha 60.00
_cell_angle_beta 60.00
_cell_angle_gamma 60.00
loop_
_symmetry_equiv_pos_as_xyz
'x,y,z'
loop_
_atom_site_label
_atom_site_fract_x
_atom_site_fract_y
_atom_site_fract_z
Na1 0.0000 0.0000 0.0000
Fe1 0.5000 0.5000 0.5000
P1 0.2500 0.2500 0.2500
P2 0.7500 0.7500 0.7500
```


# PmNd2Zn

Crystalline PmNd2Zn at its relaxed geometry (GGA-PBE, Alexandria).

Summary:
**Formation enthalpy at 0 K**: -147 meV/atom
**SG**: P4/mmm
**Polymorph energy (0 for the lowest one)**: 0 meV per atom

```
data_PmNd2Zn
_symmetry_space_group_name_H-M 'P 1'
_symmetry_Int_Tables_number 1
_cell_length_a 3.6846
_cell_length_b 3.6846
_cell_length_c 8.8475
_cell_angle_alpha 90.00
_cell_angle_beta 90.00
_cell_angle_gamma 90.00
loop_
_symmetry_equiv_pos_as_xyz
'x,y,z'
loop_
_atom_site_label
_atom_site_fract_x
_atom_site_fract_y
_atom_site_fract_z
Pm1 0.0000 0.0000 0.0000
Nd1 0.5000 0.5000 0.2922
Nd2 0.5000 0.5000 0.7078
Zn1 0.0000 0.0000 0.5000
```


# Rb2GeIrBr6

Crystalline Rb2GeIrBr6 at its relaxed geometry (GGA-PBE, Alexandria).

Summary:
**SG**: I4/mmm
**Uncorrected formation energy**: -0.793 eV per atom

```
data_Rb2GeIrBr6
_symmetry_space_group_name_H-M 'P 1'
_symmetry_Int_Tables_number 1
_cell_length_a 7.6085
_cell_length_b 7.6085
_cell_length_c 7.6085
_cell_angle_alpha 120.10
_cell_angle_beta 120.10
_cell_angle_gamma 89.82
loop_
_symmetry_equiv_pos_as_xyz
'x,y,z'
loop_
_atom_site_label
_atom_site_fract_x
_atom_site_fract_y
_atom_site_fract_z
Rb1 0.2500 0.7500 0.5000
Rb2 0.7500 0.2500 0.5000
Ge1 0.0000 0.0000 0.0000
Ir1 0.5000 0.5000 0.0000
Br1 0.2605 0.2605 0.5209
Br2 0.2605 0.7395 0.0000
Br3 0.2609 0.2609 0.0000
Br4 0.7391 0.7391 0.0000
Br5 0.7395 0.2605 0.0000
Br6 0.7395 0.7395 0.4791
```


# MgZrP

Crystalline MgZrP at its relaxed geometry (GGA-PBE, Alexandria).

Summary:
**Formation enthalpy at 0 K**: -454 meV/atom
**SG**: P3m1
**Polymorph energy (0 for the lowest one)**: 55 meV per atom

```
data_MgZrP
_symmetry_space_group_name_H-M 'P 1'
_symmetry_Int_Tables_number 1
_cell_length_a 3.7025
_cell_length_b 3.7025
_cell_length_c 5.5025
_cell_angle_alpha 90.00
_cell_angle_beta 90.00
_cell_angle_gamma 120.00
loop_
_symmetry_equiv_pos_as_xyz
'x,y,z'
loop_
_atom_site_label
_atom_site_fract_x
_atom_site_fract_y
_atom_site_fract_z
Mg1 0.0000 0.0000 0.0000
Zr1 0.6667 0.3333 0.5327
P1 0.3333 0.6667 0.2811
```


# Sm3Ho8Tl

Crystalline Sm3Ho8Tl at its relaxed geometry (GGA-PBE, Alexandria).

Summary:
**Formation enthalpy at 0 K**: 528 meV/atom
**SG**: I-42m

```
data_Sm3Ho8Tl
_symmetry_space_group_name_H-M 'P 1'
_symmetry_Int_Tables_number 1
_cell_length_a 8.3027
_cell_length_b 8.3027
_cell_length_c 8.3027
_cell_angle_alpha 117.39
_cell_angle_beta 117.39
_cell_angle_gamma 94.58
loop_
_symmetry_equiv_pos_as_xyz
'x,y,z'
loop_
_atom_site_label
_atom_site_fract_x
_atom_site_fract_y
_atom_site_fract_z
Sm1 0.0000 0.0000 0.0000
Sm2 0.2500 0.7500 0.5000
Sm3 0.7500 0.2500 0.5000
Ho1 0.1178 0.3715 0.0000
Ho2 0.2303 0.7360 0.0000
Ho3 0.2640 0.2640 0.4943
Ho4 0.3715 0.1178 0.0000
Ho5 0.6285 0.6285 0.7463
Ho6 0.7360 0.2303 0.0000
Ho7 0.7697 0.7697 0.5057
Ho8 0.8822 0.8822 0.2537
Tl1 0.5000 0.5000 0.0000
```


# Sc2BeAu

Crystalline Sc2BeAu at its relaxed geometry (GGA-PBE, Alexandria).

Summary:
**Formation enthalpy at 0 K**: -392 meV/atom
**SG**: Pm

```
data_Sc2BeAu
_symmetry_space_group_name_H-M 'P 1'
_symmetry_Int_Tables_number 1
_cell_length_a 3.4527
_cell_length_b 4.2253
_cell_length_c 5.3299
_cell_angle_alpha 90.00
_cell_angle_beta 105.70
_cell_angle_gamma 90.00
loop_
_symmetry_equiv_pos_as_xyz
'x,y,z'
loop_
_atom_site_label
_atom_site_fract_x
_atom_site_fract_y
_atom_site_fract_z
Sc1 0.0000 0.0000 0.0000
Sc2 0.2755 0.5000 0.5976
Be1 0.7048 0.0000 0.4466
Au1 0.5791 0.5000 0.1646
```


# MgCuBr2

Crystalline MgCuBr2 at its relaxed geometry (GGA-PBE, Alexandria).

Summary:
**SG**: Fmmm
**Uncorrected formation energy**: -0.273 eV per atom
**Polymorph energy (0 for the lowest one)**: 229 meV per atom

```
data_MgCuBr2
_symmetry_space_group_name_H-M 'P 1'
_symmetry_Int_Tables_number 1
_cell_length_a 5.3946
_cell_length_b 5.2770
_cell_length_c 5.2686
_cell_angle_alpha 61.53
_cell_angle_beta 59.31
_cell_angle_gamma 59.16
loop_
_symmetry_equiv_pos_as_xyz
'x,y,z'
loop_
_atom_site_label
_atom_site_fract_x
_atom_site_fract_y
_atom_site_fract_z
Mg1 0.0000 0.0000 0.0000
Cu1 0.5000 0.5000 0.5000
Br1 0.0000 0.5000 0.5000
Br2 0.5000 0.0000 0.0000
```


# Cs2LiGeCl5

Crystalline Cs2LiGeCl5 at its relaxed geometry (GGA-PBE, Alexandria).

Summary:
**SG**: Cmc2_1
**Uncorrected formation energy**: -1.554 eV per atom

```
data_Cs2LiGeCl5
_symmetry_space_group_name_H-M 'P 1'
_symmetry_Int_Tables_number 1
_cell_length_a 10.1120
_cell_length_b 10.1120
_cell_length_c 13.9604
_cell_angle_alpha 90.00
_cell_angle_beta 90.00
_cell_angle_gamma 155.69
loop_
_symmetry_equiv_pos_as_xyz
'x,y,z'
loop_
_atom_site_label
_atom_site_fract_x
_atom_site_fract_y
_atom_site_fract_z
Cs1 0.1028 0.8972 0.5000
Cs2 0.1276 0.8724 0.1181
Cs3 0.8724 0.1276 0.6181
Cs4 0.8972 0.1028 0.0000
Li1 0.4322 0.5678 0.2712
Li2 0.5678 0.4322 0.7712
Ge1 0.2104 0.7896 0.8352
Ge2 0.7896 0.2104 0.3352
Cl1 0.0639 0.9361 0.8568
Cl2 0.2802 0.7198 0.4608
Cl3 0.3114 0.6886 0.2091
Cl4 0.3346 0.6654 0.8137
Cl5 0.4944 0.5056 0.1293
Cl6 0.5056 0.4944 0.6293
Cl7 0.6654 0.3346 0.3137
Cl8 0.6886 0.3114 0.7091
Cl9 0.7198 0.2802 0.9608
Cl10 0.9361 0.0639 0.3568
```


Question: What is the formula in the second record?
Answer: PmNd2Zn